Density functional theory data (PBE) for CaTcP2Rh after structural relaxation.

Output
Energy of formation: -929 meV per atom
Magnetic moment: 0.0 μB per cell
Calculated volume: 83.2 Å³/cell

Cell and atoms, written as POSCAR:
```
CaTcP2Rh
1.0
-2.044 2.044 4.980
2.044 -2.044 4.980
2.044 2.044 -4.980
Ca Tc P Rh
1 1 2 1
Direct
0.000 0.000 0.000
0.750 0.250 0.500
0.369 0.369 0.000
0.631 0.631 0.000
0.250 0.750 0.500
```